Record 1
# CeWN2

A relaxed structure of CeWN2 (PBE, the Alexandria database).

Output
calculated volume	50	Å³/f.u.
E_form (uncorrected)	-0.842	eV/atom

Cell: 3.255 3.255 5.740 Å, 73.52 73.52 60.00°
Fractional coordinates of all 4 atoms:
W 0.500 0.500 0.500
N 0.764 0.764 0.707
N 0.236 0.236 0.293
Ce 0.000 0.000 0.000


Record 2
# AlHg2Pt2

A relaxed structure of AlHg2Pt2 (PBE, the Alexandria database).

Output
formation energy from the elements	0.1646	eV per atom
calculated volume	96	Å³/f.u.

Cell: 7.348 7.348 3.538 Å, 90.00 90.00 90.00°
Fractional coordinates of all 10 atoms:
Pt 0.649 0.851 0.500
Al 0.500 0.500 0.000
Hg 0.151 0.349 0.000
Al 0.000 0.000 0.000
Hg 0.651 0.151 0.000
Pt 0.149 0.649 0.500
Pt 0.851 0.351 0.500
Hg 0.849 0.651 0.000
Pt 0.351 0.149 0.500
Hg 0.349 0.849 0.000


Record 3
# LaFeCuH6

A relaxed structure of LaFeCuH6 (PBE, the Alexandria database).

Output
calculated volume	78	Å³/f.u.
VASP energy	-4.467	eV per atom

Cell: 4.531 4.531 4.362 Å, 90.00 90.00 60.00°
Each line ends with the local moment (μB).
Fractional coordinates of all 9 atoms:
H 0.487 0.487 0.255  0.00
H 0.487 0.487 0.745  0.00
H 0.025 0.487 0.255  0.00
Fe 0.333 0.333 0.500  0.63
Cu 0.667 0.667 0.500  0.01
H 0.487 0.025 0.255  0.00
H 0.487 0.025 0.745  0.00
H 0.025 0.487 0.745  0.00
La 0.000 0.000 0.000  -0.01


Record 4
# Sr3SiSe

A relaxed structure of Sr3SiSe (PBE, the Alexandria database).

Output
calculated volume	192	Å³/f.u.
E_form (uncorrected)	-0.598	eV/atom

Cell: 5.769 5.769 5.769 Å, 90.00 90.00 90.00°
Fractional coordinates of all 5 atoms:
Se 0.000 0.000 0.000
Sr 0.000 0.500 0.000
Si 0.500 0.500 0.500
Sr 0.000 0.000 0.500
Sr 0.500 0.000 0.000


Record 5
# NaAcEr4S8

A relaxed structure of NaAcEr4S8 (PBE, the Alexandria database).

Output
calculated volume	387	Å³/f.u.
E_form (uncorrected)	-1.942	eV/atom

Cell: 8.061 8.061 8.305 Å, 60.97 60.97 60.00°
Fractional coordinates of all 14 atoms:
S 0.758 0.758 0.728
Er 0.486 0.005 0.504
Er 0.005 0.005 0.504
Er 0.005 0.486 0.504
S 0.781 0.251 0.716
S 0.234 0.745 0.275
S 0.251 0.251 0.716
S 0.745 0.745 0.275
S 0.237 0.237 0.288
Na 0.372 0.372 0.884
S 0.251 0.781 0.716
Ac 0.003 0.003 0.992
Er 0.626 0.626 0.121
S 0.745 0.234 0.275


Record 6
# CeICl

A relaxed structure of CeICl (PBE, the Alexandria database).

Output
calculated volume	99	Å³/f.u.
E_form (uncorrected)	-1.547	eV/atom

Cell: 3.754 3.754 7.490 Å, 104.51 104.51 90.00°
Each line ends with the local moment (μB).
Fractional coordinates of all 3 atoms:
Cl 0.285 0.285 0.570  -0.01
Ce 0.678 0.678 0.357  1.32
I 0.037 0.037 0.073  -0.02